# 1
# TlCu2Pb

A relaxed TlCu2Pb crystal (GGA-PBE, Alexandria).

Cell lengths 3.434, 3.434, 6.934 Å; angles 90.00, 90.00, 90.00 degrees
Fractional positions:
Tl1 0.000 0.000 0.000
Cu1 0.500 0.500 0.238
Cu2 0.500 0.500 0.762
Pb1 0.000 0.000 0.500

The density of states at the Fermi level comes out at 0.86 states/eV per cell. The formation enthalpy at 0 K comes out at 0.320 eV per atom. Its space group is P4/mmm, No. 123. For the total energy, the calculation gives -3.2465 eV per atom.

---

# 2
# Tl2Cu2Pb

A relaxed Tl2Cu2Pb crystal (GGA-PBE, Alexandria).

Cell lengths 4.417, 4.417, 12.018 Å; angles 90.00, 90.00, 90.00 degrees
Fractional positions:
Tl1 0.000 0.500 0.250
Tl2 0.000 0.500 0.750
Tl3 0.500 0.000 0.250
Tl4 0.500 0.000 0.750
Cu1 0.000 0.000 0.099
Cu2 0.000 0.000 0.901
Cu3 0.500 0.500 0.401
Cu4 0.500 0.500 0.599
Pb1 0.000 0.000 0.500
Pb2 0.500 0.500 0.000

The density of states at the Fermi level comes out at 4.99 states/eV per cell. The formation enthalpy at 0 K comes out at 0.315 eV per atom. The value obtained for the energy relative to the lowest polymorph listed for this composition is 10.2 kJ/mol of atoms. Its space group is I4/mmm, No. 139. For the total energy, the calculation gives -3.0121 eV per atom.